VASP calculation (PBE+U) on a relaxed structure of K2NiAgO.

Values from the calculation:
M_tot	0.20	Bohr magnetons per cell
uncorrected energy	-1.99	eV/atom

a = 6.194 Å, b = 6.194 Å, c = 4.870 Å
α = 90.00°, β = 90.00°, γ = 90.00°
Space group P4/mmm (No. 123)
Unique sites:
1 K 0.000 0.500 0.000
2 Ni 0.000 0.000 0.500
3 Ag 0.000 0.000 0.000
4 O 0.500 0.500 0.500